Material: Cu5SiTe4Cl2
Method: DFT, PBE-GGA
State: optimized geometry

space group = Amm2 (38)
formation energy without anion corrections = -0.11 eV per atom

a = 7.7643 Å, b = 6.6793 Å, c = 6.6793 Å
α = 124.17°, β = 90.00°, γ = 90.00°
With the nearest neighbours (Å) after each atom.
Positions (direct):
Cu  0.0000  0.0000  0.0000  2 Cl 2.41, 2 Te 2.62
Cu  0.2697  0.3932  0.7278  1 Cl 2.44, 2 Te 2.56-2.61
Cu  0.2697  0.7278  0.3932  1 Cl 2.44, 2 Te 2.56-2.61
Cu  0.7303  0.3932  0.7278  1 Cl 2.44, 2 Te 2.56-2.61
Cu  0.7303  0.7278  0.3932  1 Cl 2.44, 2 Te 2.56-2.61
Si  0.5000  0.0853  0.0853  4 Te 2.51-2.56
Te  0.2305  0.3055  0.3055  1 Si 2.51, 3 Cu 2.56-2.62
Te  0.5000  0.0458  0.6814  1 Si 2.56, 4 Cu 2.61-2.81
Te  0.5000  0.6814  0.0458  1 Si 2.56, 4 Cu 2.61-2.81
Te  0.7695  0.3055  0.3055  1 Si 2.51, 3 Cu 2.56-2.62
Cl  0.0000  0.6009  0.9213  3 Cu 2.41-2.44
Cl  0.0000  0.9213  0.6009  3 Cu 2.41-2.44

=====

Material: TlCuSi2Cl
Method: DFT, PBE-GGA
State: optimized geometry

space group = P4/mmm (123)
formation energy without anion corrections = 1.26 eV per atom

a = 5.2755 Å, b = 5.2755 Å, c = 5.4157 Å
α = 90.00°, β = 90.00°, γ = 90.00°
With the nearest neighbours (Å) after each atom.
Positions (direct):
Tl  0.0000  0.0000  0.0000  4 Si 2.64, 2 Cl 2.71
Cu  0.5000  0.5000  0.5000  4 Cl 3.73, 8 Si 3.78
Si  0.0000  0.5000  0.0000  2 Tl 2.64
Si  0.5000  0.0000  0.0000  2 Tl 2.64
Cl  0.0000  0.0000  0.5000  2 Tl 2.71

=====

Material: Cu2SiWCl
Method: DFT, PBE-GGA
State: optimized geometry

space group = P4/mmm (123)
formation energy without anion corrections = 1.45 eV per atom

a = 4.1696 Å, b = 4.1696 Å, c = 5.0402 Å
α = 90.00°, β = 90.00°, γ = 90.00°
With the nearest neighbours (Å) after each atom.
Positions (direct):
Cu  0.0000  0.5000  0.0000  2 Cl 2.08
Cu  0.5000  0.0000  0.0000  2 Cl 2.08
Si  0.0000  0.0000  0.5000  2 Cl 2.52
W  0.5000  0.5000  0.5000  4 Si 2.95, 8 Cu 3.27
Cl  0.0000  0.0000  0.0000  4 Cu 2.08

=====

Material: SmCuCl5
Method: DFT, PBE-GGA
State: optimized geometry

space group = C2/c (15)
formation energy without anion corrections = -1.46 eV per atom

a = 7.6071 Å, b = 7.6071 Å, c = 8.3813 Å
α = 96.23°, β = 96.23°, γ = 123.01°
With the nearest neighbours (Å) after each atom.
Positions (direct):
Sm  0.0398  0.9602  0.7500  6 Cl 2.72-2.79
Sm  0.9602  0.0398  0.2500  6 Cl 2.72-2.79
Cu  0.5000  0.5000  0.0000  4 Cl 2.26-2.30
Cu  0.5000  0.5000  0.5000  4 Cl 2.26-2.30
Cl  0.9996  0.2189  0.9714  2 Sm 2.72-2.79
Cl  0.0004  0.7811  0.0286  2 Sm 2.72-2.79
Cl  0.1954  0.4637  0.3861  1 Cu 2.26
Cl  0.2189  0.9996  0.4714  2 Sm 2.72-2.79
Cl  0.4297  0.5703  0.7500  2 Cu 2.30
Cl  0.4637  0.1954  0.8861  1 Cu 2.26
Cl  0.5363  0.8046  0.1139  1 Cu 2.26
Cl  0.5703  0.4297  0.2500  2 Cu 2.30
Cl  0.7811  0.0004  0.5286  2 Sm 2.72-2.79
Cl  0.8046  0.5363  0.6139  1 Cu 2.26